1.
First-principles (PBE) data for ZnTe4Pb after structural relaxation, as listed in Alexandria.

Output
**Formation energy without anion corrections**: 0.30 eV per atom
**Total magnetization**: 0.00 μB/f.u.

a = 9.0971 Å, b = 9.0971 Å, c = 9.0971 Å
α = 90.00°, β = 90.00°, γ = 90.00°
Last column: nearest neighbours and their distance in Å.
Space group F-43m (No. 216)
One atom of each set of equivalent atoms:
Zn1 0.0000 0.0000 0.0000  12 Te 3.77, 4 Pb 3.94
Te1 0.1248 0.1248 0.3752  6 Te 3.21-3.22
Pb1 0.2500 0.2500 0.7500  12 Te 3.77, 4 Zn 3.94

---

2.
First-principles (PBE) data for K2IrBr after structural relaxation, as listed in Alexandria.

Output
**E above lowest polymorph**: 110 meV/atom
**Formation energy without anion corrections**: 0.17 eV per atom
**Total magnetization**: 1.99 μB/f.u.

a = 5.7458 Å, b = 5.7458 Å, c = 3.9737 Å
α = 90.00°, β = 90.00°, γ = 90.00°
Last column: nearest neighbours and their distance in Å.
Space group P4/mmm (No. 123)
One atom of each set of equivalent atoms:
K1 0.0000 0.5000 0.0000  4 Br 3.49, 4 Ir 3.49
Ir1 0.0000 0.0000 0.5000  8 K 3.49
Br1 0.5000 0.5000 0.5000  8 K 3.49

---

3.
First-principles (PBE) data for KCo2Os after structural relaxation, as listed in Alexandria.

Output
**E above lowest polymorph**: 142 meV/atom
**DFT formation energy**: 829 meV/atom
**Total magnetization**: 2.22 μB/f.u.

a = 2.6171 Å, b = 3.6002 Å, c = 7.7559 Å
α = 90.00°, β = 90.00°, γ = 90.00°
Last column: nearest neighbours and their distance in Å.
Space group Pmm2 (No. 25)
One atom of each set of equivalent atoms:
K1 0.0000 0.0000 0.0000  2 K 2.62
Co1 0.0000 0.0000 0.4874  4 Os 2.45, 6 Co 2.61-2.62
Co2 0.5000 0.5000 0.6621  1 Os 2.39, 6 Co 2.61-2.62
Os1 0.5000 0.5000 0.3539  5 Co 2.39-2.45, 2 Os 2.62

---

4.
First-principles (PBE) data for ZnReW after structural relaxation, as listed in Alexandria.

Output
**E above lowest polymorph**: 19 meV/atom
**DFT formation energy**: 181 meV/atom
**Total magnetization**: 0.00 μB/f.u.

a = 3.2287 Å, b = 3.2287 Å, c = 8.7040 Å
α = 90.00°, β = 90.00°, γ = 90.00°
Last column: nearest neighbours and their distance in Å.
Space group I4mm (No. 107)
One atom of each set of equivalent atoms:
Zn1 0.0000 0.0000 0.0000  5 Re 2.73-2.86, 5 W 2.74-2.83
Re1 0.0000 0.0000 0.6710  4 W 2.65, 5 Zn 2.73-2.86
W1 0.0000 0.0000 0.3253  4 Re 2.65, 5 Zn 2.74-2.83

---

5.
First-principles (PBE) data for AcLaZn after structural relaxation, as listed in Alexandria.

Output
**E above lowest polymorph**: 188 meV/atom
**DFT formation energy**: 13 meV/atom
**Total magnetization**: 0.00 μB/f.u.

a = 7.5048 Å, b = 7.5048 Å, c = 7.5048 Å
α = 90.00°, β = 90.00°, γ = 90.00°
Last column: nearest neighbours and their distance in Å.
Space group F-43m (No. 216)
One atom of each set of equivalent atoms:
Ac1 0.0000 0.0000 0.0000  4 Zn 3.25
La1 0.0000 0.0000 0.5000  4 Zn 3.25
Zn1 0.2500 0.2500 0.7500  4 Ac 3.25, 4 La 3.25

---

6.
First-principles (PBE) data for HfRe2Os after structural relaxation, as listed in Alexandria.

Output
**E above lowest polymorph**: 447 meV/atom
**DFT formation energy**: 587 meV/atom
**Total magnetization**: 0.00 μB/f.u.

a = 7.4280 Å, b = 7.4280 Å, c = 5.2021 Å
α = 90.00°, β = 90.00°, γ = 90.00°
Last column: nearest neighbours and their distance in Å.
Space group I-42d (No. 122)
One atom of each set of equivalent atoms:
Hf1 0.0000 0.0000 0.0000  2 Os 2.60, 4 Re 2.89
Re1 0.2157 0.2500 0.6250  2 Os 2.54, 2 Re 2.65
Os1 0.0000 0.0000 0.5000  4 Re 2.54, 2 Hf 2.60

---

7.
First-principles (PBE) data for Li2YMn after structural relaxation, as listed in Alexandria.

Output
**E above lowest polymorph**: 211 meV/atom
**DFT formation energy**: 414 meV/atom
**Total magnetization**: 4.15 μB/f.u.

a = 3.1645 Å, b = 3.1645 Å, c = 30.3621 Å
α = 90.00°, β = 90.00°, γ = 120.00°
Last column: nearest neighbours and their distance in Å.
Space group R-3m (No. 166, hexagonal axes)
One atom of each set of equivalent atoms:
Li1 0.0000 0.0000 0.2406  3 Mn 2.89, 6 Li 3.16
Y1 0.0000 0.0000 0.0000  6 Y 3.16, 6 Li 3.36
Mn1 0.0000 0.0000 0.5000  6 Li 2.89, 6 Mn 3.16

---

8.
First-principles (PBE) data for CaTbSn2 after structural relaxation, as listed in Alexandria.

Output
**DFT formation energy**: -601 meV/atom
**Total magnetization**: 0.00 μB/f.u.

a = 4.9797 Å, b = 4.9797 Å, c = 4.4102 Å
α = 90.00°, β = 90.00°, γ = 90.00°
Last column: nearest neighbours and their distance in Å.
Space group P4/mmm (No. 123)
One atom of each set of equivalent atoms:
Ca1 0.0000 0.0000 0.0000  8 Sn 3.33, 4 Tb 3.52
Tb1 0.5000 0.5000 0.0000  8 Sn 3.33, 4 Ca 3.52
Sn1 0.0000 0.5000 0.5000  4 Tb 3.33, 4 Ca 3.33, 4 Sn 3.52

---

9.
First-principles (PBE) data for Tl5Cd5Hg2 after structural relaxation, as listed in Alexandria.

Output
**DFT formation energy**: 34 meV/atom
**Total magnetization**: 0.00 μB/f.u.

a = 16.0236 Å, b = 5.0728 Å, c = 9.7416 Å
α = 90.00°, β = 123.90°, γ = 90.00°
Last column: nearest neighbours and their distance in Å.
Space group C2/m (No. 12)
One atom of each set of equivalent atoms:
Tl1 0.0000 0.0000 0.0000  6 Cd 3.29-3.53, 2 Tl 3.40, 4 Hg 3.46
Tl2 0.0946 0.0000 0.7629  3 Hg 3.28-3.44, 6 Cd 3.31-3.54, 3 Tl 3.40-3.56
Tl3 0.1733 0.0000 0.4894  6 Cd 3.20-3.51, 4 Tl 3.46-3.56
Cd1 0.0000 0.5000 0.5000  4 Cd 3.09-3.16, 4 Tl 3.31
Cd2 0.0650 0.5000 0.2554  1 Cd 3.09, 2 Hg 3.13-3.17, 4 Tl 3.20-3.29
Cd3 0.2349 0.5000 0.7641  2 Hg 3.04, 1 Cd 3.16, 2 Tl 3.39
Hg1 0.1599 0.5000 0.0441  4 Cd 3.04-3.17, 1 Tl 3.28

---

10.
First-principles (PBE) data for MgCd2ReO6 after structural relaxation, as listed in Alexandria.

Output
**Formation energy without anion corrections**: -1.55 eV per atom
**Total magnetization**: 0.97 μB/f.u.

a = 5.4568 Å, b = 5.5387 Å, c = 9.5427 Å
α = 90.00°, β = 124.82°, γ = 90.00°
Last column: nearest neighbours and their distance in Å.
Space group P2_1/c (No. 14)
One atom of each set of equivalent atoms:
Mg1 0.0000 0.0000 0.0000  6 O 2.09-2.13
Cd1 0.2404 0.0417 0.7488  4 O 2.28-2.41
Re1 0.5000 0.0000 0.5000  6 O 1.93-1.95
O1 0.1606 0.1915 0.4515  1 Re 1.95, 1 Mg 2.09
O2 0.2615 0.7126 0.4457  1 Re 1.93, 1 Mg 2.13
O3 0.3594 0.0364 0.2613  1 Re 1.95, 1 Mg 2.13

---

11.
First-principles (PBE) data for Cd3Pd7Au2 after structural relaxation, as listed in Alexandria.

Output
**E above lowest polymorph**: 0 meV/atom
**DFT formation energy**: -152 meV/atom
**Total magnetization**: 0.00 μB/f.u.

a = 4.6329 Å, b = 20.8411 Å, c = 4.6077 Å
α = 90.00°, β = 90.00°, γ = 90.00°
Last column: nearest neighbours and their distance in Å.
Space group Cmmm (No. 65)
One atom of each set of equivalent atoms:
Cd1 0.0000 0.0000 0.0000  8 Pd 2.77-2.79
Cd2 0.0000 0.1546 0.0000  6 Pd 2.67-2.87
Pd1 0.0000 0.0755 0.5000  2 Au 2.77, 4 Cd 2.79-2.83, 3 Pd 2.80-3.01
Pd2 0.0000 0.2197 0.5000  2 Pd 2.64, 2 Cd 2.67, 3 Au 2.75-2.76
Pd3 0.0000 0.4267 0.0000  3 Pd 2.76-3.05, 4 Cd 2.77-2.87, 2 Au 2.78
Pd4 0.0000 0.5000 0.5000  8 Pd 2.76-2.80, 2 Au 3.09
Au1 0.0000 0.3519 0.5000  7 Pd 2.75-2.78

---

12.
First-principles (PBE) data for TbScIr after structural relaxation, as listed in Alexandria.

Output
**E above lowest polymorph**: 96 meV/atom
**DFT formation energy**: -666 meV/atom
**Total magnetization**: 0.00 μB/f.u.

a = 6.6129 Å, b = 6.6129 Å, c = 6.6129 Å
α = 90.00°, β = 90.00°, γ = 90.00°
Last column: nearest neighbours and their distance in Å.
Space group F-43m (No. 216)
One atom of each set of equivalent atoms:
Tb1 0.0000 0.0000 0.0000  4 Ir 2.86
Sc1 0.0000 0.0000 0.5000  4 Ir 2.86
Ir1 0.2500 0.2500 0.2500  4 Tb 2.86, 4 Sc 2.86

---

Copy entry 5 word for word.
First-principles (PBE) data for AcLaZn after structural relaxation, as listed in Alexandria.

Output
**E above lowest polymorph**: 188 meV/atom
**DFT formation energy**: 13 meV/atom
**Total magnetization**: 0.00 μB/f.u.

a = 7.5048 Å, b = 7.5048 Å, c = 7.5048 Å
α = 90.00°, β = 90.00°, γ = 90.00°
Last column: nearest neighbours and their distance in Å.
Space group F-43m (No. 216)
One atom of each set of equivalent atoms:
Ac1 0.0000 0.0000 0.0000  4 Zn 3.25
La1 0.0000 0.0000 0.5000  4 Zn 3.25
Zn1 0.2500 0.2500 0.7500  4 Ac 3.25, 4 La 3.25